1:
Compound: TlOsCl2
Source: Alexandria via LeMat-Bulk
Functional: GGA-PBE
Structure: optimized geometry

As for the calculated volume: 207.72 Å³/cell. The crystal system is monoclinic.

It has space group Cm (No. 8), with a = 10.646 Å, b = 3.568 Å, c = 6.187 Å, α = 90.00°, β = 117.87° and γ = 90.00°. The inequivalent atoms are Tl at (0.000, 0.000, 0.000), Os at (0.231, 0.500, 0.997), Cl at (0.164, 0.000, 0.708) and Cl at (0.324, 0.000, 0.286).

2:
Compound: TlOsCl2
Source: Alexandria via LeMat-Bulk
Functional: GGA-PBE
Structure: optimized geometry

As for the calculated volume: 199.38 Å³/cell. The crystal system is orthorhombic.

It has space group Immm (No. 71), with a = 3.155 Å, b = 5.403 Å, c = 11.699 Å, α = 90.00°, β = 90.00° and γ = 90.00°. The inequivalent atoms are Tl at (0.000, 0.000, 0.000), Os at (0.000, 0.000, 0.500) and Cl at (0.000, 0.500, 0.156).

3:
Compound: TlOsCl2
Source: Alexandria via LeMat-Bulk
Functional: GGA-PBE
Structure: optimized geometry

As for the calculated volume: 187.59 Å³/cell. The crystal system is orthorhombic.

It has space group Cmmm (No. 65), with a = 7.824 Å, b = 7.873 Å, c = 3.045 Å, α = 90.00°, β = 90.00° and γ = 90.00°. The inequivalent atoms are Tl at (0.000, 0.000, 0.000), Os at (0.000, 0.500, 0.000) and Cl at (0.250, 0.250, 0.000).

4:
Compound: TlOsCl2
Source: Alexandria via LeMat-Bulk
Functional: GGA-PBE
Structure: optimized geometry

As for the calculated volume: 187.50 Å³/cell. The crystal system is orthorhombic.

It has space group Cmm2 (No. 35), with a = 3.329 Å, b = 6.078 Å, c = 9.266 Å, α = 90.00°, β = 90.00° and γ = 90.00°. The inequivalent atoms are Tl at (0.000, 0.000, 0.000), Os at (0.000, 0.500, 0.763), Cl at (0.000, 0.000, 0.589) and Cl at (0.000, 0.500, 0.223).

Which of them is the most stable, and which is the least stable? 1 and 3, in that order.

1:
Compound: TlOsCl2
Source: Alexandria via LeMat-Bulk
Functional: GGA-PBE
Structure: optimized geometry

As for the calculated volume: 188.82 Å³/cell. The crystal system is orthorhombic.

It has space group Imm2 (No. 44), with a = 3.016 Å, b = 4.402 Å, c = 14.221 Å, α = 90.00°, β = 90.00° and γ = 90.00°. The inequivalent atoms are Tl at (0.000, 0.000, 0.000), Os at (0.000, 0.500, 0.689), Cl at (0.000, 0.000, 0.321) and Cl at (0.000, 0.500, 0.165).

2:
Compound: TlOsCl2
Source: Alexandria via LeMat-Bulk
Functional: GGA-PBE
Structure: optimized geometry

As for the calculated volume: 180.96 Å³/cell. The crystal system is orthorhombic.

It has space group Cmmm (No. 65), with a = 7.488 Å, b = 7.530 Å, c = 3.209 Å, α = 90.00°, β = 90.00° and γ = 90.00°. The inequivalent atoms are Tl at (0.000, 0.000, 0.000), Os at (0.000, 0.500, 0.000) and Cl at (0.250, 0.250, 0.500).

3:
Compound: TlOsCl2
Source: Alexandria via LeMat-Bulk
Functional: GGA-PBE
Structure: optimized geometry

As for the calculated volume: 87.73 Å³/cell. The crystal system is tetragonal.

It has space group P4mm (No. 99), with a = 3.241 Å, b = 3.241 Å, c = 8.349 Å, α = 90.00°, β = 90.00° and γ = 90.00°. The inequivalent atoms are Tl at (0.000, 0.000, 0.000), Os at (0.500, 0.500, 0.694), Cl at (0.000, 0.000, 0.587) and Cl at (0.500, 0.500, 0.221).

4:
Compound: TlOsCl2
Source: Alexandria via LeMat-Bulk
Functional: GGA-PBE
Structure: optimized geometry

As for the calculated volume: 349.01 Å³/cell. The crystal system is cubic.

It has space group F-43m (No. 216), with a = 7.041 Å, b = 7.041 Å, c = 7.041 Å, α = 90.00°, β = 90.00° and γ = 90.00°. The inequivalent atoms are Tl at (0.000, 0.000, 0.000), Os at (0.250, 0.250, 0.250), Cl at (0.000, 0.000, 0.500) and Cl at (0.250, 0.250, 0.750).

Which of them is the most stable, and which is the least stable? 1 and 4, in that order.